Record 1
VASP calculation (PBE) on a relaxed KNa2ReBr8 crystal.

```
12
Lattice="6.659 -0.297 -0.002 -0.297 6.387 0.001 0.008 0.020 9.447" Properties=species:S:1:pos:R:3 pbc="T T T"
Br 0.655 4.921 7.646
Br 4.228 4.757 9.441
Br 5.730 1.210 7.639
Br 5.715 1.190 1.799
Br 0.640 4.900 1.806
Br 3.226 4.670 4.723
Br 2.141 1.353 0.005
Br 3.144 1.440 4.723
K 0.004 0.010 4.723
Re 0.000 0.000 0.000
Na 3.187 3.056 7.199
Na 3.183 3.054 2.246
```

Results
Fermi-level density of states ... 5.09 states/eV per cell
Energy ... -3.33 eV/atom
Uncorrected formation energy ... -0.8679 eV per atom
Magnetic moment ... 3.078 Bohr magnetons per cell

---

Record 2
VASP calculation (PBE) on a relaxed KNa2SbBr8 crystal.

```
12
Lattice="6.896 -0.281 -0.002 -0.288 6.318 0.001 0.008 0.019 9.716" Properties=species:S:1:pos:R:3 pbc="T T T"
Na 3.307 3.032 2.323
Na 3.309 3.024 7.391
Br 4.392 4.503 9.709
Br 5.825 1.217 7.718
Br 0.791 4.838 1.997
Br 5.808 1.195 1.991
Br 2.224 1.552 0.006
Br 3.344 4.623 4.858
Br 3.272 1.432 4.856
Br 0.809 4.861 7.724
Sb 0.000 0.000 0.000
K 0.004 0.010 4.858
```

Results
Fermi-level density of states ... 6.18 states/eV per cell
Energy ... -2.71 eV/atom
Uncorrected formation energy ... -0.9371 eV per atom
Magnetic moment ... 0.366 Bohr magnetons per cell

---

Record 3
VASP calculation (PBE) on a relaxed K3Na3ScBr8 crystal.

```
15
Lattice="-4.538 2.780 6.995 -4.236 -2.724 -7.213 4.231 -6.127 5.186" Properties=species:S:1:pos:R:3 pbc="T T T"
Sc 2.115 -3.064 2.593
Br 0.080 -4.914 1.999
Br 0.077 -1.187 3.089
Br -2.353 0.302 6.829
Br -4.623 -1.156 2.970
Br -2.195 -2.383 -0.489
Br -2.190 -6.372 -1.860
Br -4.620 -4.883 1.880
Br -2.349 -3.688 5.458
K -4.387 0.028 -0.109
K 0.000 0.000 0.000
K -2.118 -1.362 -3.606
Na -0.002 -4.425 -1.013
Na -0.154 -1.673 6.091
Na -2.272 -3.035 2.485
```

Results
Fermi-level density of states ... 4.02 states/eV per cell
Energy ... -3.39 eV/atom
Uncorrected formation energy ... -1.5968 eV per atom
Magnetic moment ... 0.984 Bohr magnetons per cell

---

Record 4
VASP calculation (PBE) on a relaxed KNa2SeBr crystal.

```
5
Lattice="-3.537 3.591 1.972 -3.958 -3.667 -0.422 1.241 -2.020 5.905" Properties=species:S:1:pos:R:3 pbc="T T T"
Na -1.769 1.795 0.986
Na -1.979 -1.834 -0.211
K 0.621 -1.010 2.952
Se 0.000 0.000 0.000
Br -3.127 -1.048 3.727
```

Results
Fermi-level density of states ... 0.00 states/eV per cell
Energy above the lowest structure with this stoichiometry ... 0 meV/atom
Energy ... -2.94 eV/atom
Uncorrected formation energy ... -1.1577 eV per atom
Magnetic moment ... 0.000 Bohr magnetons per cell

---

Record 5
VASP calculation (PBE) on a relaxed KNaSe2Br crystal.

```
5
Lattice="-3.007 -5.185 -1.009 1.789 -2.092 5.419 -4.984 2.391 2.568" Properties=species:S:1:pos:R:3 pbc="T T T"
Se -1.503 -2.592 -0.505
Se 0.894 -1.046 2.710
K 0.000 0.000 0.000
Br -2.492 1.195 1.284
Na -3.101 -2.443 3.489
```

Results
Fermi-level density of states ... 5.71 states/eV per cell
Energy above the lowest structure with this stoichiometry ... 314 meV/atom
Energy ... -2.26 eV/atom
Uncorrected formation energy ... -0.0473 eV per atom
Magnetic moment ... 3.006 Bohr magnetons per cell

---

Record 6
VASP calculation (PBE) on a relaxed K2NaSeBr6 crystal.

```
20
Lattice="-0.951 -1.547 -7.377 2.313 -6.668 -2.812 -12.223 -8.317 -0.592" Properties=species:S:1:pos:R:3 pbc="T T T"
Na -2.337 -6.905 -6.075
Na -8.524 -9.628 -4.707
K -6.966 -6.004 -1.755
K -0.556 -3.183 -3.173
K -10.305 -13.350 -7.609
K -3.895 -10.529 -9.026
Br -6.095 -9.494 -3.026
Br -3.080 -9.685 -5.396
Br -10.615 -9.112 -2.634
Br -4.767 -7.039 -7.755
Br -0.247 -7.421 -8.148
Br -9.484 -12.370 -4.008
Br -7.781 -6.847 -5.385
Br 0.218 -6.665 -4.543
Br -6.586 -10.293 -6.838
Br -1.377 -4.162 -6.774
Br -4.275 -6.239 -3.943
Br -11.079 -9.868 -6.238
Se 0.000 0.000 0.000
Se -5.431 -8.266 -5.391
```

Results
Fermi-level density of states ... 9.42 states/eV per cell
Energy ... -2.64 eV/atom
Uncorrected formation energy ... -0.9365 eV per atom
Magnetic moment ... 0.000 Bohr magnetons per cell

---

Record 7
VASP calculation (PBE) on a relaxed K2NaSeBr crystal.

```
5
Lattice="-6.063 1.531 -0.092 -1.310 -4.975 3.557 0.685 2.976 4.415" Properties=species:S:1:pos:R:3 pbc="T T T"
K -0.655 -2.487 1.778
K -3.031 0.766 -0.046
Na 0.342 1.488 2.208
Se 0.000 0.000 0.000
Br -3.344 -0.233 3.940
```

Results
Fermi-level density of states ... 0.00 states/eV per cell
Energy ... -2.92 eV/atom
Uncorrected formation energy ... -1.1840 eV per atom
Magnetic moment ... 0.000 Bohr magnetons per cell

---

Record 8
VASP calculation (PBE) on a relaxed KNaSe2Br crystal.

```
5
Lattice="-3.262 3.293 -2.957 -4.249 -3.357 0.949 -1.287 2.964 4.721" Properties=species:S:1:pos:R:3 pbc="T T T"
Br -0.643 1.482 2.361
Se -2.125 -1.678 0.475
Se -1.631 1.647 -1.478
K -4.399 1.450 1.357
Na 0.000 0.000 0.000
```

Results
Fermi-level density of states ... 4.41 states/eV per cell
Energy above the lowest structure with this stoichiometry ... 0 meV/atom
Energy ... -2.57 eV/atom
Uncorrected formation energy ... -0.3616 eV per atom
Magnetic moment ... 2.899 Bohr magnetons per cell

---

Record 9
VASP calculation (PBE) on a relaxed KNa2SmBr6 crystal.

```
10
Lattice="7.643 0.003 0.003 3.824 6.615 0.001 3.825 2.206 6.961" Properties=species:S:1:pos:R:3 pbc="T T T"
Br 10.303 4.396 1.658
Br 5.456 4.132 5.285
Br 8.499 6.448 5.285
Br 6.333 6.720 1.656
Br 6.298 2.123 1.656
Br 8.987 2.653 5.287
Sm 3.823 2.205 0.193
Na 3.826 2.207 6.823
Na 7.647 4.412 3.096
K 11.467 6.618 3.992
```

Results
Fermi-level density of states ... 0.00 states/eV per cell
Energy ... -3.58 eV/atom
Uncorrected formation energy ... -1.7291 eV per atom
Magnetic moment ... 0.000 Bohr magnetons per cell

---

Record 10
VASP calculation (PBE) on a relaxed K2NaSmBr6 crystal.

```
20
Lattice="7.771 0.000 0.065 0.000 8.188 0.000 0.162 0.000 11.076" Properties=species:S:1:pos:R:3 pbc="T T T"
Br 6.285 6.612 6.202
Br 5.614 2.518 10.510
Br 6.480 6.485 10.463
Br 2.319 5.670 0.631
Br 2.513 5.797 4.893
Br 1.648 1.576 4.939
Br 1.453 1.703 0.678
Br 5.420 2.391 6.248
Br 1.027 3.809 8.358
Br 4.832 0.285 2.853
Br 6.906 4.379 2.783
Br 3.102 7.903 8.288
K 4.228 4.733 8.403
K 7.672 0.639 8.308
K 3.705 3.455 2.738
K 0.261 7.549 2.833
Na 0.081 4.094 5.538
Na 3.886 0.000 0.033
Sm 0.000 4.094 0.000
Sm 3.967 0.000 5.570
```

Results
Fermi-level density of states ... 0.00 states/eV per cell
Energy ... -3.61 eV/atom
Uncorrected formation energy ... -1.7853 eV per atom
Magnetic moment ... 0.000 Bohr magnetons per cell

---

Record 11
VASP calculation (PBE) on a relaxed KNa2Sn2Br7 crystal.

```
12
Lattice="5.971 0.000 0.000 0.000 6.026 0.000 -2.985 -3.013 12.040" Properties=species:S:1:pos:R:3 pbc="T T T"
Na 0.000 2.957 6.048
Na 2.985 -0.056 5.991
Sn 0.000 0.030 9.093
Sn 2.985 3.043 2.946
Br 2.985 -0.121 9.096
Br 2.985 2.709 0.000
Br 2.985 -0.173 2.948
Br 0.000 2.840 9.091
Br 2.985 2.962 5.918
Br 0.000 2.892 2.944
Br 0.000 -0.051 6.121
K 0.000 1.046 0.000
```

Results
Energy ... -3.14 eV/atom
Uncorrected formation energy ... -1.1817 eV per atom
Magnetic moment ... 0.000 Bohr magnetons per cell

---

Record 12
VASP calculation (PBE) on a relaxed KNa2SnBr5 crystal.

```
18
Lattice="4.559 0.000 0.000 -2.279 9.434 0.000 0.000 0.000 15.272" Properties=species:S:1:pos:R:3 pbc="T T T"
K 0.000 4.649 14.846
K 2.279 4.785 7.210
Sn 0.000 9.287 7.078
Sn 2.279 0.147 14.713
Na 2.279 6.818 3.249
Na 0.000 2.617 10.885
Na 2.279 6.070 11.209
Na 0.000 3.364 3.573
Br 2.279 8.077 8.391
Br 2.279 3.264 12.728
Br 2.279 4.317 1.930
Br 2.279 1.709 9.077
Br 0.000 7.304 12.799
Br 2.279 2.131 5.163
Br 0.000 6.170 5.092
Br 0.000 7.725 1.441
Br 0.000 1.358 0.755
Br 0.000 5.117 9.565
```

Results
Fermi-level density of states ... 0.00 states/eV per cell
Energy ... -3.07 eV/atom
Uncorrected formation energy ... -1.2822 eV per atom
Magnetic moment ... 0.000 Bohr magnetons per cell

---

Record 13
VASP calculation (PBE) on a relaxed KNa2SnBr crystal.

```
5
Lattice="6.760 0.000 0.000 0.000 6.140 0.000 0.000 0.000 6.760" Properties=species:S:1:pos:R:3 pbc="T T T"
Na 3.380 0.000 0.000
Na 0.000 0.000 3.380
Br 3.380 3.070 3.380
Sn 0.000 3.070 0.000
K 0.000 0.000 0.000
```

Results
Fermi-level density of states ... 0.84 states/eV per cell
Energy ... -1.55 eV/atom
Uncorrected formation energy ... 0.3332 eV per atom
Magnetic moment ... 2.007 Bohr magnetons per cell

---

Record 14
VASP calculation (PBE) on a relaxed K2NaSnBr6 crystal.

```
20
Lattice="7.942 0.000 0.000 3.971 6.878 0.000 3.971 2.293 13.624" Properties=species:S:1:pos:R:3 pbc="T T T"
Br 7.942 7.003 12.096
Br 7.942 2.167 1.528
Br 5.892 3.402 5.025
Br 10.036 3.376 12.096
Br 7.942 6.951 5.025
Br 5.847 5.794 1.528
Br 9.991 3.402 5.025
Br 5.847 3.376 12.096
Br 9.991 5.768 8.599
Br 7.942 2.219 8.599
Br 10.036 5.794 1.528
Br 5.892 5.768 8.599
K 3.971 2.293 7.681
K 3.971 2.293 2.449
K 11.912 6.878 5.943
K 11.912 6.878 11.175
Sn 7.942 4.585 6.812
Sn 0.000 0.000 0.000
Na 7.942 4.585 10.283
Na 7.942 4.585 3.341
```

Results
Fermi-level density of states ... 4.40 states/eV per cell
Energy ... -2.99 eV/atom
Uncorrected formation energy ... -1.2315 eV per atom
Magnetic moment ... 0.000 Bohr magnetons per cell

---

Record 15
VASP calculation (PBE) on a relaxed K2NaSnBr5 crystal.

```
18
Lattice="4.614 0.000 0.000 -2.307 9.435 0.000 0.000 0.000 14.886" Properties=species:S:1:pos:R:3 pbc="T T T"
Br 2.307 8.237 8.436
Br 2.307 2.349 7.255
Br 2.307 0.014 3.904
Br 2.307 3.501 13.391
Br 0.000 5.934 5.948
Br 0.000 7.086 14.698
Br 0.000 5.160 9.945
Br 0.000 9.421 11.347
Br 0.000 1.198 0.993
Br 2.307 4.276 2.503
K 2.307 6.633 11.898
K 0.000 1.953 9.790
K 0.000 2.803 4.456
K 2.307 7.483 2.347
Sn 2.307 0.768 14.113
Sn 0.000 8.668 6.670
Na 0.000 4.196 0.518
Na 2.307 5.239 7.961
```

Results
Fermi-level density of states ... 0.00 states/eV per cell
Energy ... -3.11 eV/atom
Uncorrected formation energy ... -1.3435 eV per atom
Magnetic moment ... 0.000 Bohr magnetons per cell

---

Record 16
VASP calculation (PBE) on a relaxed K4Na3SrBr8 crystal.

```
16
Lattice="-2.579 5.144 7.149 -8.615 -3.465 -0.614 7.128 -5.720 0.797" Properties=species:S:1:pos:R:3 pbc="T T T"
Na -0.743 -4.592 0.091
Na -2.032 -2.020 3.666
Na -5.597 0.839 3.267
K 3.564 -2.860 0.399
K 2.275 -0.288 3.973
K -1.289 2.572 3.574
K 0.000 0.000 0.000
Br -4.236 2.860 5.285
Br 0.645 -2.588 2.095
Br -4.710 -1.453 5.237
Br 0.171 -6.901 2.046
Br -2.931 0.257 1.667
Br -3.433 -4.007 1.645
Br -0.632 -0.034 5.686
Br -1.134 -4.298 5.664
Sr -4.307 -1.732 -0.307
```

Results
Fermi-level density of states ... 2.65 states/eV per cell
Energy ... -3.08 eV/atom
Uncorrected formation energy ... -1.6125 eV per atom
Magnetic moment ... 0.000 Bohr magnetons per cell

---

Record 17
VASP calculation (PBE) on a relaxed K2NaSrBr crystal.

```
5
Lattice="-3.718 3.966 3.610 -0.381 -4.576 4.636 5.149 2.340 2.733" Properties=species:S:1:pos:R:3 pbc="T T T"
K -0.190 -2.288 2.318
K -1.859 1.983 1.805
Na 0.525 0.865 5.489
Sr 2.575 1.170 1.366
Br 0.000 0.000 0.000
```

Results
Fermi-level density of states ... 3.01 states/eV per cell
Energy ... -1.90 eV/atom
Uncorrected formation energy ... -0.5242 eV per atom
Magnetic moment ... 0.000 Bohr magnetons per cell

---

Record 18
VASP calculation (PBE) on a relaxed K2NaSrBr5 crystal.

```
18
Lattice="-4.093 -0.283 -2.068 2.345 -9.370 1.746 -6.792 0.785 13.333" Properties=species:S:1:pos:R:3 pbc="T T T"
K -4.442 -1.104 8.941
K -7.272 -6.557 10.185
K -2.896 -7.903 1.710
K -1.973 -2.230 4.210
Br -6.533 -6.487 13.816
Br -2.501 -5.353 5.681
Br -0.343 -1.263 0.851
Br -5.569 -7.909 6.999
Br -4.941 -8.835 10.988
Br -8.000 -3.289 11.178
Br -3.886 0.000 2.586
Br -5.341 -1.995 5.739
Br -4.373 -4.483 9.267
Br -3.039 -4.516 1.528
Na -8.469 -0.194 11.682
Na -2.778 -8.361 6.643
Sr -5.462 -4.951 6.382
Sr -0.048 -4.267 0.680
```

Results
Fermi-level density of states ... 0.00 states/eV per cell
Energy ... -3.32 eV/atom
Uncorrected formation energy ... -1.8132 eV per atom
Magnetic moment ... 0.000 Bohr magnetons per cell

---

Record 19
VASP calculation (PBE) on a relaxed KNaSrBr4 crystal.

```
14
Lattice="9.024 0.000 0.000 -4.512 8.102 -0.513 0.000 -4.830 7.943" Properties=species:S:1:pos:R:3 pbc="T T T"
Sr 4.512 0.000 0.000
Sr 4.512 -2.415 3.972
Br 4.512 2.444 1.834
Br 2.038 4.353 5.367
Br 0.000 2.934 2.133
Br -2.038 4.353 5.367
Br 2.474 -1.081 2.063
Br 0.000 0.829 5.596
Br 4.512 0.338 5.297
Br 6.550 -1.081 2.063
K 4.512 5.307 0.507
K 0.000 -2.035 6.923
Na 2.256 1.636 3.715
Na -2.256 1.636 3.715
```

Results
Fermi-level density of states ... 0.00 states/eV per cell
Energy ... -3.38 eV/atom
Uncorrected formation energy ... -1.8350 eV per atom
Magnetic moment ... 0.000 Bohr magnetons per cell

---

Record 20
VASP calculation (PBE) on a relaxed KNaSr2Br6 crystal.

```
10
Lattice="-1.582 0.633 7.694 4.959 -3.057 5.306 4.622 5.244 4.552" Properties=species:S:1:pos:R:3 pbc="T T T"
Sr 4.511 5.054 4.546
Sr 3.819 1.098 8.765
K 5.404 1.085 13.127
Br 5.286 -1.393 7.750
Br 5.127 2.851 6.559
Br 3.040 3.941 9.745
Br 1.301 0.934 7.027
Br 6.442 1.960 10.189
Br 2.688 -0.025 11.381
Na 1.301 -0.505 4.344
```

Results
Fermi-level density of states ... 0.00 states/eV per cell
Energy ... -3.51 eV/atom
Uncorrected formation energy ... -1.9241 eV per atom
Magnetic moment ... 0.000 Bohr magnetons per cell